Crystalline Co5BiO12 at its relaxed geometry. Source: Alexandria, functional GGA+U.

* VASP energy: -5.600 eV per atom

Cell lengths 5.098, 5.098, 10.046 Å; angles 90.24, 90.24, 120.08 degrees
Positions (direct):
1 Co 0.000 0.000 0.000
2 Co 0.167 0.833 0.500
3 Co 0.333 0.667 0.000
4 Co 0.667 0.333 0.000
5 Co 0.833 0.167 0.500
6 Bi 0.500 0.500 0.500
7 O 0.002 0.335 0.089
8 O 0.128 0.128 0.399
9 O 0.132 0.501 0.600
10 O 0.332 0.332 0.911
11 O 0.335 0.002 0.089
12 O 0.499 0.868 0.400
13 O 0.501 0.132 0.600
14 O 0.665 0.998 0.911
15 O 0.668 0.668 0.089
16 O 0.868 0.499 0.400
17 O 0.872 0.872 0.601
18 O 0.998 0.665 0.911



Crystalline Co6Bi4O19 at its relaxed geometry. Source: Alexandria, functional GGA+U.

* VASP energy: -5.672 eV per atom

Cell lengths 7.491, 7.491, 7.491 Å; angles 109.47, 109.47, 109.47 degrees
Positions (direct):
1 Co 0.158 0.500 0.658
2 Co 0.342 0.842 0.500
3 Co 0.500 0.342 0.842
4 Co 0.500 0.658 0.158
5 Co 0.658 0.158 0.500
6 Co 0.842 0.500 0.342
7 Bi 0.000 0.000 0.328
8 Bi 0.000 0.328 0.000
9 Bi 0.328 0.000 0.000
10 Bi 0.672 0.672 0.672
11 O 0.000 0.000 0.000
12 O 0.000 0.354 0.354
13 O 0.000 0.646 0.646
14 O 0.041 0.682 0.299
15 O 0.257 0.641 0.959
16 O 0.299 0.041 0.682
17 O 0.318 0.359 0.617
18 O 0.354 0.000 0.354
19 O 0.354 0.354 0.000
20 O 0.359 0.617 0.318
21 O 0.383 0.743 0.701
22 O 0.617 0.318 0.359
23 O 0.641 0.959 0.257
24 O 0.646 0.000 0.646
25 O 0.646 0.646 0.000
26 O 0.682 0.299 0.041
27 O 0.701 0.383 0.743
28 O 0.743 0.701 0.383
29 O 0.959 0.257 0.641



Crystalline CoBi3O6 at its relaxed geometry. Source: Alexandria, functional GGA+U.

* VASP energy: -5.777 eV per atom

Cell lengths 7.510, 7.510, 5.586 Å; angles 90.00, 90.00, 101.95 degrees
Positions (direct):
1 Co 0.187 0.813 0.500
2 Co 0.813 0.187 0.000
3 Bi 0.080 0.312 0.458
4 Bi 0.312 0.080 0.958
5 Bi 0.398 0.602 0.939
6 Bi 0.602 0.398 0.439
7 Bi 0.688 0.920 0.458
8 Bi 0.920 0.688 0.958
9 O 0.055 0.945 0.675
10 O 0.098 0.582 0.669
11 O 0.220 0.780 0.183
12 O 0.323 0.368 0.208
13 O 0.368 0.323 0.708
14 O 0.418 0.902 0.669
15 O 0.582 0.098 0.169
16 O 0.632 0.677 0.208
17 O 0.677 0.632 0.708
18 O 0.780 0.220 0.683
19 O 0.902 0.418 0.169
20 O 0.945 0.055 0.175